Entry from Alexandria: an optimized crystal structure of TlInHI2 (PBE-GGA).

Computed properties:
Total DFT energy (no corrections): -13.01 eV for the cell shown
Theoretical density: 5.92 g cm⁻³
Magnetic moment: 0.00 μB/cell

CIF file:
```
data_TlInHI2
_cell_length_a 6.306
_cell_length_b 6.306
_cell_length_c 4.051
_cell_angle_alpha 90.00
_cell_angle_beta 90.00
_cell_angle_gamma 90.00
_symmetry_space_group_name_H-M 'P 1'
_symmetry_Int_Tables_number 1
loop_
_symmetry_equiv_pos_as_xyz
'x,y,z'
loop_
_atom_site_label
_atom_site_fract_x
_atom_site_fract_y
_atom_site_fract_z
In1 0.000 0.000 0.000
I1 0.500 0.000 0.000
I2 0.000 0.500 0.000
Tl1 0.500 0.500 0.500
H1 0.000 0.000 0.500
```



Entry from Alexandria: an optimized crystal structure of V2InHI (PBE-GGA).

Computed properties:
Total DFT energy (no corrections): -20.81 eV for the cell shown
Theoretical density: 5.33 g cm⁻³
Magnetic moment: 6.24 μB/cell

CIF file:
```
data_V2InHI
_cell_length_a 5.330
_cell_length_b 3.776
_cell_length_c 5.330
_cell_angle_alpha 90.00
_cell_angle_beta 90.00
_cell_angle_gamma 90.00
_symmetry_space_group_name_H-M 'P 1'
_symmetry_Int_Tables_number 1
loop_
_symmetry_equiv_pos_as_xyz
'x,y,z'
loop_
_atom_site_label
_atom_site_fract_x
_atom_site_fract_y
_atom_site_fract_z
H1 0.000 0.500 0.000
I1 0.500 0.500 0.500
V1 0.000 0.000 0.500
V2 0.500 0.000 0.000
In1 0.000 0.000 0.000
```



Entry from Alexandria: an optimized crystal structure of Zr2InHI (PBE-GGA).

Computed properties:
Total DFT energy (no corrections): -21.34 eV for the cell shown
Theoretical density: 6.16 g cm⁻³
Magnetic moment: 0.00 μB/cell

CIF file:
```
data_Zr2InHI
_cell_length_a 5.636
_cell_length_b 3.610
_cell_length_c 5.636
_cell_angle_alpha 90.00
_cell_angle_beta 90.00
_cell_angle_gamma 90.00
_symmetry_space_group_name_H-M 'P 1'
_symmetry_Int_Tables_number 1
loop_
_symmetry_equiv_pos_as_xyz
'x,y,z'
loop_
_atom_site_label
_atom_site_fract_x
_atom_site_fract_y
_atom_site_fract_z
I1 0.500 0.500 0.500
H1 0.000 0.500 0.000
Zr1 0.000 0.000 0.500
Zr2 0.500 0.000 0.000
In1 0.000 0.000 0.000
```



Entry from Alexandria: an optimized crystal structure of ZrInHI2 (PBE-GGA).

Computed properties:
Total DFT energy (no corrections): -17.64 eV for the cell shown
Theoretical density: 5.92 g cm⁻³
Magnetic moment: 1.97 μB/cell

CIF file:
```
data_ZrInHI2
_cell_length_a 5.788
_cell_length_b 3.861
_cell_length_c 5.788
_cell_angle_alpha 90.00
_cell_angle_beta 90.00
_cell_angle_gamma 90.00
_symmetry_space_group_name_H-M 'P 1'
_symmetry_Int_Tables_number 1
loop_
_symmetry_equiv_pos_as_xyz
'x,y,z'
loop_
_atom_site_label
_atom_site_fract_x
_atom_site_fract_y
_atom_site_fract_z
H1 0.000 0.000 0.000
I1 0.000 0.000 0.500
I2 0.500 0.000 0.000
In1 0.500 0.500 0.500
Zr1 0.000 0.500 0.000
```



Entry from Alexandria: an optimized crystal structure of H3IrI (PBE-GGA).

Computed properties:
Total DFT energy (no corrections): -16.50 eV for the cell shown
Theoretical density: 9.76 g cm⁻³
ΔE to the lowest computed polymorph: 0.0 kJ/mol of atoms
Magnetic moment: 0.00 μB/cell

CIF file:
```
data_H3IrI
_cell_length_a 3.798
_cell_length_b 3.798
_cell_length_c 3.798
_cell_angle_alpha 90.00
_cell_angle_beta 90.00
_cell_angle_gamma 90.00
_symmetry_space_group_name_H-M 'P 1'
_symmetry_Int_Tables_number 1
loop_
_symmetry_equiv_pos_as_xyz
'x,y,z'
loop_
_atom_site_label
_atom_site_fract_x
_atom_site_fract_y
_atom_site_fract_z
I1 0.500 0.500 0.500
Ir1 0.000 0.000 0.000
H1 0.000 0.000 0.500
H2 0.500 0.000 0.000
H3 0.000 0.500 0.000
```



Entry from Alexandria: an optimized crystal structure of H5IrI4 (PBE-GGA).

Computed properties:
Total DFT energy (no corrections): -30.22 eV for the cell shown
Theoretical density: 4.92 g cm⁻³
Magnetic moment: 0.00 μB/cell

CIF file:
```
data_H5IrI4
_cell_length_a 5.013
_cell_length_b 7.328
_cell_length_c 7.328
_cell_angle_alpha 83.28
_cell_angle_beta 70.00
_cell_angle_gamma 70.00
_symmetry_space_group_name_H-M 'P 1'
_symmetry_Int_Tables_number 1
loop_
_symmetry_equiv_pos_as_xyz
'x,y,z'
loop_
_atom_site_label
_atom_site_fract_x
_atom_site_fract_y
_atom_site_fract_z
I1 0.148 0.216 0.319
I2 0.467 0.681 0.216
I3 0.364 0.319 0.784
I4 0.683 0.784 0.681
H1 0.118 0.830 0.964
H2 0.557 0.000 0.000
H3 0.082 0.036 0.830
H4 0.913 0.170 0.036
H5 0.948 0.964 0.170
Ir1 0.230 0.000 0.000
```



Entry from Alexandria: an optimized crystal structure of H2IrI4 (PBE-GGA).

Computed properties:
Total DFT energy (no corrections): -19.15 eV for the cell shown
Theoretical density: 4.11 g cm⁻³
Magnetic moment: 0.06 μB/cell

CIF file:
```
data_H2IrI4
_cell_length_a 5.239
_cell_length_b 5.239
_cell_length_c 10.987
_cell_angle_alpha 76.21
_cell_angle_beta 76.21
_cell_angle_gamma 90.00
_symmetry_space_group_name_H-M 'P 1'
_symmetry_Int_Tables_number 1
loop_
_symmetry_equiv_pos_as_xyz
'x,y,z'
loop_
_atom_site_label
_atom_site_fract_x
_atom_site_fract_y
_atom_site_fract_z
H1 0.258 0.258 0.484
H2 0.742 0.742 0.516
I1 0.179 0.179 0.642
I2 0.000 0.500 0.000
I3 0.821 0.821 0.358
I4 0.500 0.000 0.000
Ir1 0.000 0.000 0.000
```



Entry from Alexandria: an optimized crystal structure of H3IrI (PBE-GGA).

Computed properties:
Total DFT energy (no corrections): -11.51 eV for the cell shown
Theoretical density: 8.70 g cm⁻³
ΔE to the lowest computed polymorph: 96.2 kJ/mol of atoms
Magnetic moment: 1.87 μB/cell

CIF file:
```
data_H3IrI
_cell_length_a 3.947
_cell_length_b 3.947
_cell_length_c 3.947
_cell_angle_alpha 90.00
_cell_angle_beta 90.00
_cell_angle_gamma 90.00
_symmetry_space_group_name_H-M 'P 1'
_symmetry_Int_Tables_number 1
loop_
_symmetry_equiv_pos_as_xyz
'x,y,z'
loop_
_atom_site_label
_atom_site_fract_x
_atom_site_fract_y
_atom_site_fract_z
H1 0.000 0.500 0.000
H2 0.000 0.000 0.500
H3 0.500 0.000 0.000
Ir1 0.500 0.500 0.500
I1 0.000 0.000 0.000
```



Entry from Alexandria: an optimized crystal structure of HIr3I (PBE-GGA).

Computed properties:
Total DFT energy (no corrections): -26.82 eV for the cell shown
Theoretical density: 16.75 g cm⁻³
Magnetic moment: 0.00 μB/cell

CIF file:
```
data_HIr3I
_cell_length_a 4.119
_cell_length_b 4.119
_cell_length_c 4.119
_cell_angle_alpha 90.00
_cell_angle_beta 90.00
_cell_angle_gamma 90.00
_symmetry_space_group_name_H-M 'P 1'
_symmetry_Int_Tables_number 1
loop_
_symmetry_equiv_pos_as_xyz
'x,y,z'
loop_
_atom_site_label
_atom_site_fract_x
_atom_site_fract_y
_atom_site_fract_z
Ir1 0.000 0.000 0.500
Ir2 0.500 0.000 0.000
Ir3 0.000 0.500 0.000
I1 0.500 0.500 0.500
H1 0.000 0.000 0.000
```



Entry from Alexandria: an optimized crystal structure of H4IrI (PBE-GGA).

Computed properties:
Total DFT energy (no corrections): -46.43 eV for the cell shown
Theoretical density: 6.29 g cm⁻³
Magnetic moment: 0.00 μB/cell

CIF file:
```
data_H4IrI
_cell_length_a 5.379
_cell_length_b 4.422
_cell_length_c 7.536
_cell_angle_alpha 107.06
_cell_angle_beta 85.17
_cell_angle_gamma 90.00
_symmetry_space_group_name_H-M 'P 1'
_symmetry_Int_Tables_number 1
loop_
_symmetry_equiv_pos_as_xyz
'x,y,z'
loop_
_atom_site_label
_atom_site_fract_x
_atom_site_fract_y
_atom_site_fract_z
H1 0.031 0.622 0.245
H2 0.331 0.227 0.907
H3 0.000 0.720 0.000
H4 0.669 0.320 0.093
H5 0.669 0.773 0.093
H6 0.331 0.680 0.907
H7 0.000 0.280 0.000
H8 0.969 0.378 0.755
I1 0.706 0.841 0.682
I2 0.294 0.159 0.318
Ir1 0.752 0.463 0.926
Ir2 0.248 0.537 0.074
```



Entry from Alexandria: an optimized crystal structure of La8HIr3I3 (PBE-GGA).

Computed properties:
Total DFT energy (no corrections): -86.73 eV for the cell shown
Theoretical density: 6.89 g cm⁻³
Magnetic moment: 0.00 μB/cell

CIF file:
```
data_La8HIr3I3
_cell_length_a 8.448
_cell_length_b 8.443
_cell_length_c 9.430
_cell_angle_alpha 116.55
_cell_angle_beta 89.99
_cell_angle_gamma 120.02
_symmetry_space_group_name_H-M 'P 1'
_symmetry_Int_Tables_number 1
loop_
_symmetry_equiv_pos_as_xyz
'x,y,z'
loop_
_atom_site_label
_atom_site_fract_x
_atom_site_fract_y
_atom_site_fract_z
La1 0.768 0.536 0.311
La2 0.724 0.956 0.689
La3 0.276 0.044 0.311
La4 0.233 0.957 0.689
La5 0.730 0.460 0.690
La6 0.232 0.464 0.689
La7 0.270 0.540 0.310
La8 0.767 0.043 0.311
I1 0.500 0.500 0.000
I2 0.000 0.500 0.000
I3 0.000 0.000 0.000
Ir1 0.500 0.000 0.500
Ir2 0.000 0.500 0.500
Ir3 0.500 0.500 0.500
H1 0.000 0.000 0.500
```



Entry from Alexandria: an optimized crystal structure of La8HIr3I4 (PBE-GGA).

Computed properties:
Total DFT energy (no corrections): -91.24 eV for the cell shown
Theoretical density: 7.18 g cm⁻³
Magnetic moment: 0.00 μB/cell

CIF file:
```
data_La8HIr3I4
_cell_length_a 8.442
_cell_length_b 9.569
_cell_length_c 8.445
_cell_angle_alpha 116.21
_cell_angle_beta 119.99
_cell_angle_gamma 90.00
_symmetry_space_group_name_H-M 'P 1'
_symmetry_Int_Tables_number 1
loop_
_symmetry_equiv_pos_as_xyz
'x,y,z'
loop_
_atom_site_label
_atom_site_fract_x
_atom_site_fract_y
_atom_site_fract_z
La1 0.271 0.313 0.542
La2 0.769 0.314 0.045
La3 0.729 0.687 0.458
La4 0.231 0.686 0.463
La5 0.276 0.314 0.045
La6 0.724 0.686 0.955
La7 0.231 0.686 0.955
La8 0.769 0.314 0.537
I1 0.500 0.000 0.000
I2 0.000 0.000 0.000
I3 0.500 0.000 0.500
I4 0.000 0.000 0.500
H1 0.000 0.500 0.000
Ir1 0.000 0.500 0.500
Ir2 0.500 0.500 0.500
Ir3 0.500 0.500 0.000
```



- Which value of theoretical density does entry 12 give?
  7.18 g cm⁻³



Copy entry 9 word for word.
Entry from Alexandria: an optimized crystal structure of HIr3I (PBE-GGA).

Computed properties:
Total DFT energy (no corrections): -26.82 eV for the cell shown
Theoretical density: 16.75 g cm⁻³
Magnetic moment: 0.00 μB/cell

CIF file:
```
data_HIr3I
_cell_length_a 4.119
_cell_length_b 4.119
_cell_length_c 4.119
_cell_angle_alpha 90.00
_cell_angle_beta 90.00
_cell_angle_gamma 90.00
_symmetry_space_group_name_H-M 'P 1'
_symmetry_Int_Tables_number 1
loop_
_symmetry_equiv_pos_as_xyz
'x,y,z'
loop_
_atom_site_label
_atom_site_fract_x
_atom_site_fract_y
_atom_site_fract_z
Ir1 0.000 0.000 0.500
Ir2 0.500 0.000 0.000
Ir3 0.000 0.500 0.000
I1 0.500 0.500 0.500
H1 0.000 0.000 0.000
```